Record 1
VASP calculation (GGA-PBE) on a relaxed structure of ScVP3.

Geometry as extended XYZ:
```
5
Lattice="4.8366 0.0000 0.0000 0.0000 4.8366 0.0000 0.0000 0.0000 4.8366" Properties=species:S:1:pos:R:3 pbc="T T T"
Sc 0.0000 0.0000 0.0000
P 2.4183 0.0000 0.0000
P 0.0000 2.4183 0.0000
P 0.0000 0.0000 2.4183
V 2.4183 2.4183 2.4183
```

Computed properties:
- Distance to the lowest polymorph of the same formula: 800 meV/atom
- Size of the total moment: 3.4 μB/f.u.
- Energy relative to the elements: 0.697 eV/atom

Record 2
VASP calculation (GGA-PBE) on a relaxed structure of Ca2SeBr.

Geometry as extended XYZ:
```
4
Lattice="4.2127 0.0000 0.0000 0.0000 4.2127 0.0000 0.0000 0.0000 5.9459" Properties=species:S:1:pos:R:3 pbc="T T T"
Br 2.1063 2.1063 5.2018
Se 0.0000 0.0000 2.2308
Ca 0.0000 0.0000 5.2031
Ca 2.1063 2.1063 2.2292
```

Computed properties:
- Distance to the lowest polymorph of the same formula: 23 meV/atom
- Size of the total moment: 0.0 μB/f.u.
- Formation energy (no corrections): -1624 meV per atom

Record 3
VASP calculation (GGA-PBE) on a relaxed structure of TbCdInSn.

Geometry as extended XYZ:
```
4
Lattice="4.4966 0.0000 0.0000 0.0000 4.7864 0.0000 0.0000 0.0000 4.6141" Properties=species:S:1:pos:R:3 pbc="T T T"
Cd 2.2483 2.3932 0.0000
Sn 0.0000 0.0000 0.0000
Tb 2.2483 0.0000 2.3071
In 0.0000 2.3932 2.3071
```

Computed properties:
- Size of the total moment: 0.0 μB/f.u.
- Energy relative to the elements: -0.442 eV/atom

Record 4
VASP calculation (GGA-PBE) on a relaxed structure of ZrMo2.

Geometry as extended XYZ:
```
24
Lattice="-4.5423 -2.8118 0.7770 3.1313 -1.0558 -4.2688 8.9090 -11.7806 9.4487" Properties=species:S:1:pos:R:3 pbc="T T T"
Mo 0.5340 -6.0051 0.1436
Mo -2.2711 -1.4059 0.3885
Mo 1.2505 -4.0410 1.9168
Mo 1.3708 -6.6632 2.6536
Mo 6.0201 -6.4182 2.5899
Mo 2.1834 -7.2962 5.1129
Mo 6.1271 -8.9850 3.3033
Mo -1.0561 -5.4689 2.3114
Mo -0.8852 -3.6800 0.2609
Mo 1.5656 -0.5279 -2.1344
Mo 6.9639 -9.6432 5.8133
Mo 6.2474 -11.6073 4.0401
Mo 8.5541 -10.1794 3.6455
Mo 8.3831 -11.9682 5.6960
Mo -0.7055 -1.9338 -1.7459
Mo 3.7490 -7.8241 2.9785
Zr 3.6116 -4.7757 3.8304
Zr 5.5262 -12.1581 7.0608
Zr 3.6296 -5.6825 0.6545
Zr 5.2974 -7.0049 5.6183
Zr 1.9717 -3.4902 -1.1039
Zr 3.8683 -9.9658 5.3024
Zr 0.8429 -1.1146 0.8940
Zr 8.0660 -10.6660 8.5547
```

Computed properties:
- Distance to the lowest polymorph of the same formula: 8 meV/atom
- Size of the total moment: 0.0 μB/f.u.
- Energy relative to the elements: -0.142 eV/atom

Record 5
VASP calculation (GGA-PBE) on a relaxed structure of VCo2H.

Geometry as extended XYZ:
```
8
Lattice="3.9359 0.0003 -1.7869 -0.0164 4.2595 -0.0362 -0.3227 0.0375 4.5174" Properties=species:S:1:pos:R:3 pbc="T T T"
V 1.1108 2.6825 3.6365
V 3.0868 0.5529 2.7613
Co 2.0525 0.5260 0.2275
Co 2.6603 2.6710 1.5656
Co 3.8202 2.6558 -0.5969
Co 0.5080 0.5409 2.5647
H 1.2667 3.7280 1.3695
H 1.2778 1.5983 1.3868
```

Computed properties:
- Distance to the lowest polymorph of the same formula: 0 meV/atom
- Size of the total moment: 0.9 μB/f.u.